A plane-wave DFT calculation with meta-GGA SCAN was carried out for CaMg2W at its PBEsol-relaxed geometry.

```
CaMg2W
1.0
1.5161 0.8753 10.4817
-1.5161 0.8753 10.4817
0.0000 -1.7506 10.4817
Ca Mg W
1 2 1
Direct
0.0000 0.0000 0.0000
0.2404 0.2404 0.2404
0.7596 0.7596 0.7596
0.5000 0.5000 0.5000
```

Properties
SG: R-3m (166)
Energy relative to the elements in eV per atom: 0.624

=====

A plane-wave DFT calculation with meta-GGA SCAN was carried out for CaMg2W at its PBEsol-relaxed geometry.

```
CaMg2W
1.0
0.0000 3.5166 3.5166
3.5166 0.0000 3.5166
3.5166 3.5166 0.0000
Ca Mg W
1 2 1
Direct
0.0000 0.0000 0.0000
0.5000 0.5000 0.5000
0.7500 0.7500 0.7500
0.2500 0.2500 0.2500
```

Properties
SG: F-43m (216)
Energy relative to the elements in eV per atom: 0.833

=====

A plane-wave DFT calculation with meta-GGA SCAN was carried out for CaMg2W at its PBEsol-relaxed geometry.

```
CaMg2W
1.0
2.8905 0.0000 0.0000
0.0000 2.8905 0.0000
0.0000 0.0000 9.9780
Ca Mg W
1 2 1
Direct
0.0000 0.0000 0.0000
0.0000 0.0000 0.5406
0.5000 0.5000 0.2854
0.5000 0.5000 0.7549
```

Properties
SG: P4mm (99)
Energy relative to the elements in eV per atom: 0.501

=====

A plane-wave DFT calculation with meta-GGA SCAN was carried out for CaMg2W at its PBEsol-relaxed geometry.

```
CaMg2W
1.0
3.1548 -4.3606 0.0000
3.1548 4.3606 0.0000
0.0000 0.0000 2.9420
Ca Mg W
1 2 1
Direct
0.0000 0.0000 0.0000
0.0000 0.5000 0.5000
0.5000 0.0000 0.5000
0.5000 0.5000 0.0000
```

Properties
SG: Cmmm (65)
Energy relative to the elements in eV per atom: 0.690

=====

A plane-wave DFT calculation with meta-GGA SCAN was carried out for Ca2YMg at its PBEsol-relaxed geometry.

```
Ca2YMg
1.0
-2.5013 2.5013 5.1944
2.5013 -2.5013 5.1944
2.5013 2.5013 -5.1944
Ca Y Mg
2 1 1
Direct
0.2500 0.7500 0.5000
0.7500 0.2500 0.5000
0.0000 0.0000 0.0000
0.5000 0.5000 0.0000
```

Properties
SG: I4/mmm (139)
Energy relative to the elements in eV per atom: 0.114

=====

A plane-wave DFT calculation with meta-GGA SCAN was carried out for CaYMg2 at its PBEsol-relaxed geometry.

```
CaYMg2
1.0
6.0573 -1.7508 0.0000
6.0573 1.7508 0.0000
-1.9671 0.0000 5.3781
Ca Y Mg
1 1 2
Direct
0.0000 0.0000 0.0000
0.7869 0.7869 0.3505
0.2458 0.2458 0.8271
0.5360 0.5360 0.5223
```

Properties
SG: Cm (8)
Energy relative to the elements in eV per atom: -0.027

=====

A plane-wave DFT calculation with meta-GGA SCAN was carried out for Ca2YMg at its PBEsol-relaxed geometry.

```
Ca2YMg
1.0
3.4803 0.0000 0.0000
0.0000 5.7593 0.0000
-0.8179 0.0000 6.4768
Ca Y Mg
2 1 1
Direct
0.2137 0.0000 0.2524
0.7863 0.0000 0.7476
0.5000 0.5000 0.0000
0.0000 0.5000 0.5000
```

Properties
SG: P2/m (10)
Energy relative to the elements in eV per atom: 0.113

=====

A plane-wave DFT calculation with meta-GGA SCAN was carried out for CaYMg4 at its PBEsol-relaxed geometry.

```
CaYMg4
1.0
0.0000 4.2869 4.2869
4.2869 0.0000 4.2869
4.2869 4.2869 0.0000
Ca Y Mg
1 1 4
Direct
0.0000 0.0000 0.0000
0.7500 0.7500 0.7500
0.3758 0.3758 0.3758
0.3758 0.3758 0.8727
0.3758 0.8727 0.3758
0.8727 0.3758 0.3758
```

Properties
SG: F-43m (216)
Energy relative to the elements in eV per atom: -0.115